First-principles (PBE) data for a geometry-optimized NdDy2HoSe6 structure, as listed in Alexandria via LeMat-Bulk.

Lattice parameters (Å, degrees): 7.7417 7.7417 7.7417 56.01 56.01 56.01
Last column: nearest neighbours and their distance in Å.
Fractional positions:
Nd 0.0000 0.0000 0.0000  6 Se 2.92-3.02
Dy 0.2980 0.2980 0.2980  6 Se 2.85-2.90
Dy 0.8011 0.8011 0.8011  6 Se 2.84-2.91
Ho 0.4952 0.4952 0.4952  6 Se 2.85-2.90
Se 0.0905 0.6869 0.4132  2 Dy 2.84-2.90, 1 Ho 2.90, 1 Nd 2.92
Se 0.2035 0.5873 0.8971  1 Ho 2.85, 2 Dy 2.85-2.91, 1 Nd 3.02
Se 0.4132 0.0905 0.6869  2 Dy 2.84-2.90, 1 Ho 2.90, 1 Nd 2.92
Se 0.5873 0.8971 0.2035  1 Ho 2.85, 2 Dy 2.85-2.91, 1 Nd 3.02
Se 0.6869 0.4132 0.0905  2 Dy 2.84-2.90, 1 Ho 2.90, 1 Nd 2.92
Se 0.8971 0.2035 0.5873  1 Ho 2.85, 2 Dy 2.85-2.91, 1 Nd 3.02

Symmetry ... R3 (146)
Crystal system ... trigonal
Calculated volume ... 29.778 Å³/atom
Magnetization ... 0.00 μB/cell
Raw formation energy ... -1.846 eV/atom


First-principles (PBE) data for a geometry-optimized PrZr2NpO8 structure, as listed in Alexandria via LeMat-Bulk.

Lattice parameters (Å, degrees): 5.0941 5.0941 6.8549 90.00 90.00 91.01
Last column: nearest neighbours and their distance in Å.
Fractional positions:
Pr 0.0000 0.0000 0.0000  6 O 2.36-2.38
Zr 0.5000 0.5000 0.2504  6 O 2.13-2.20
Zr 0.5000 0.5000 0.7496  6 O 2.13-2.20
Np 0.0000 0.0000 0.5000  6 O 2.11-2.25
O 0.2027 0.2027 0.2752  1 Np 2.11, 1 Zr 2.13
O 0.2027 0.2027 0.7248  1 Np 2.11, 1 Zr 2.13
O 0.3090 0.6910 0.5000  2 Zr 2.20, 1 Np 2.25
O 0.3247 0.6753 0.0000  2 Zr 2.14, 1 Pr 2.36
O 0.6753 0.3247 0.0000  2 Zr 2.14, 1 Pr 2.36
O 0.6910 0.3090 0.5000  2 Zr 2.20, 1 Np 2.25
O 0.7973 0.7973 0.2752  1 Np 2.11, 1 Zr 2.13
O 0.7973 0.7973 0.7248  1 Np 2.11, 1 Zr 2.13

Symmetry ... Cmmm (65)
Crystal system ... orthorhombic
Calculated volume ... 14.821 Å³/atom
Magnetization ... 2.00 μB/cell
Raw formation energy ... -3.155 eV/atom


First-principles (PBE) data for a geometry-optimized ZnSb2Os structure, as listed in Alexandria via LeMat-Bulk.

Lattice parameters (Å, degrees): 7.4816 7.4816 7.4816 132.42 132.42 69.57
Last column: nearest neighbours and their distance in Å.
Fractional positions:
Zn 0.0000 0.0000 0.0000  4 Sb 2.71
Zn 0.7500 0.2500 0.5000  4 Sb 2.71
Sb 0.1485 0.6250 0.0235  2 Os 2.55, 2 Zn 2.71
Sb 0.3750 0.3985 0.5235  2 Os 2.55, 2 Zn 2.71
Sb 0.6015 0.1250 0.9765  2 Os 2.55, 2 Zn 2.71
Sb 0.8750 0.8515 0.4765  2 Os 2.55, 2 Zn 2.71
Os 0.2500 0.7500 0.5000  4 Sb 2.55
Os 0.5000 0.5000 0.0000  4 Sb 2.55

Symmetry ... I-42d (122)
Crystal system ... tetragonal
Calculated volume ... 27.983 Å³/atom
Magnetization ... 0.00 μB/cell
Raw formation energy ... 0.488 eV/atom